K3CaPd2F9 | PBE | optimized geometry

Cell: 6.1749 6.1749 7.5588 Å, 90.00 90.00 120.00°
Closest atoms and distances in Å follow each position.
Fractional positions:
K1 0.0000 0.0000 0.0000  12 F 3.04-3.09
K2 0.3333 0.6667 0.6762  12 F 3.03-3.19
K3 0.6667 0.3333 0.3238  12 F 3.03-3.19
Ca1 0.0000 0.0000 0.5000  6 F 2.22
Pd1 0.3333 0.6667 0.1588  6 F 2.15-2.18
Pd2 0.6667 0.3333 0.8412  6 F 2.15-2.18
F1 0.0000 0.5000 0.0000  2 Pd 2.15
F2 0.1667 0.3335 0.3256  1 Pd 2.18, 1 Ca 2.22
F3 0.1667 0.8333 0.3256  1 Pd 2.18, 1 Ca 2.22
F4 0.3335 0.1667 0.6744  1 Pd 2.18, 1 Ca 2.22
F5 0.5000 0.0000 0.0000  2 Pd 2.15
F6 0.5000 0.5000 0.0000  2 Pd 2.15
F7 0.6665 0.8333 0.3256  1 Pd 2.18, 1 Ca 2.22
F8 0.8333 0.1667 0.6744  1 Pd 2.18, 1 Ca 2.22
F9 0.8333 0.6665 0.6744  1 Pd 2.18, 1 Ca 2.22

Properties
Formation energy without anion corrections ... -2359 meV per atom
SG ... No. 164
Total magnetic moment ... 0.00 μB/f.u.
Calculated density ... 3.600 g/cm3

Y2ZnNi2 | PBE | optimized geometry

Cell: 5.2198 5.2198 5.2198 Å, 119.34 119.34 91.15°
Closest atoms and distances in Å follow each position.
Fractional positions:
Y1 0.2500 0.7500 0.5000  4 Ni 2.72
Y2 0.7500 0.2500 0.5000  4 Ni 2.72
Zn1 0.0000 0.0000 0.0000  2 Ni 2.50
Ni1 0.3427 0.3427 0.0000  1 Ni 2.30, 1 Zn 2.50
Ni2 0.6573 0.6573 0.0000  1 Ni 2.30, 1 Zn 2.50

Properties
SG ... No. 139
Total magnetic moment ... 0.00 μB/f.u.
E_form ... -0.254 eV/atom
Calculated density ... 5.897 g/cm3

La3CdNi8 | PBE | optimized geometry

Cell: 8.9705 8.9705 8.9705 Å, 33.19 33.19 33.19°
Closest atoms and distances in Å follow each position.
Fractional positions:
La1 0.0000 0.0000 0.0000  12 Ni 3.01-3.09, 4 La 3.21-3.23
La2 0.1272 0.1272 0.1272  12 Ni 2.92-3.05, 3 Cd 3.09, 1 La 3.23
La3 0.6179 0.6179 0.6179  12 Ni 2.96-3.19, 1 Cd 3.09, 3 La 3.21
Cd1 0.4963 0.4963 0.4963  12 Ni 2.95-3.02, 4 La 3.09
Ni1 0.0589 0.0589 0.5611  6 Ni 2.54-2.61
Ni2 0.0589 0.5611 0.0589  6 Ni 2.54-2.61
Ni3 0.0648 0.5607 0.5607  6 Ni 2.54-2.61
Ni4 0.3106 0.3106 0.3106  6 Ni 2.61
Ni5 0.5611 0.0589 0.0589  6 Ni 2.54-2.61
Ni6 0.5607 0.0648 0.5607  6 Ni 2.54-2.61
Ni7 0.5607 0.5607 0.0648  6 Ni 2.54-2.61
Ni8 0.8115 0.8115 0.8115  6 Ni 2.54-2.58

Properties
SG ... No. 160
Total magnetic moment ... 0.00 μB/f.u.
E_form ... -0.306 eV/atom
Calculated density ... 8.614 g/cm3

Sr | PBE | optimized geometry

Cell: 3.8201 3.8201 3.8201 Å, 90.00 90.00 90.00°
Closest atoms and distances in Å follow each position.
Fractional positions:
Sr1 0.0000 0.0000 0.0000  6 Sr 3.82

Properties
SG ... No. 221
Total magnetic moment ... 0.00 μB/f.u.
E_form ... 0.380 eV/atom
Calculated density ... 2.610 g/cm3
Energy above the most stable polymorph in this dataset ... 8.766 kcal/mol of atoms

HfTiIn2 | PBE | optimized geometry

Cell: 6.2466 6.2466 6.2466 Å, 102.93 102.93 123.53°
Closest atoms and distances in Å follow each position.
Fractional positions:
Hf1 0.0000 0.0000 0.0000  4 In 2.92, 2 Ti 2.96
Hf2 0.7500 0.2500 0.5000  4 In 2.92, 2 Ti 2.96
Ti1 0.2500 0.7500 0.5000  4 In 2.78, 2 Hf 2.96
Ti2 0.5000 0.5000 0.0000  4 In 2.78, 2 Hf 2.96
In1 0.1382 0.6250 0.0132  2 Ti 2.78, 2 Hf 2.92, 2 In 2.96
In2 0.3750 0.3882 0.5132  2 Ti 2.78, 2 Hf 2.92, 2 In 2.96
In3 0.6118 0.1250 0.9868  2 Ti 2.78, 2 Hf 2.92, 2 In 2.96
In4 0.8750 0.8618 0.4868  2 Ti 2.78, 2 Hf 2.92, 2 In 2.96

Properties
SG ... No. 122
Total magnetic moment ... 0.00 μB/f.u.
E_form ... 0.242 eV/atom
Calculated density ... 8.460 g/cm3
Energy above the most stable polymorph in this dataset ... 8.995 kcal/mol of atoms

LaZr8 | PBE | optimized geometry

Cell: 7.2919 7.2919 7.2919 Å, 95.55 95.55 143.75°
Closest atoms and distances in Å follow each position.
Fractional positions:
La1 0.0000 0.0000 0.0000  12 Zr 3.29-3.31
Zr1 0.0000 0.3377 0.3377  11 Zr 3.18-3.26, 1 La 3.31
Zr2 0.0000 0.6623 0.6623  11 Zr 3.18-3.26, 1 La 3.31
Zr3 0.3278 0.3278 0.6555  10 Zr 3.13-3.38, 2 La 3.29
Zr4 0.3278 0.6722 0.0000  10 Zr 3.13-3.38, 2 La 3.29
Zr5 0.3377 0.0000 0.3377  11 Zr 3.18-3.26, 1 La 3.31
Zr6 0.6623 0.0000 0.6623  11 Zr 3.18-3.26, 1 La 3.31
Zr7 0.6722 0.3278 0.0000  10 Zr 3.13-3.38, 2 La 3.29
Zr8 0.6722 0.6722 0.3445  10 Zr 3.13-3.38, 2 La 3.29

Properties
SG ... No. 139
Total magnetic moment ... 0.00 μB/f.u.
E_form ... 0.095 eV/atom
Calculated density ... 6.620 g/cm3

Zn5Pt2Rh | PBE | optimized geometry

Cell: 7.9582 7.9582 7.9582 Å, 151.35 151.35 40.96°
Closest atoms and distances in Å follow each position.
Fractional positions:
Zn1 0.0000 0.0000 0.0000  8 Zn 2.73, 4 Rh 2.78
Zn2 0.1266 0.6266 0.5000  4 Pt 2.66-2.73, 2 Rh 2.73, 6 Zn 2.73-2.78
Zn3 0.3734 0.8734 0.5000  4 Pt 2.66-2.73, 2 Rh 2.73, 6 Zn 2.73-2.78
Zn4 0.6266 0.1266 0.5000  4 Pt 2.66-2.73, 2 Rh 2.73, 6 Zn 2.73-2.78
Zn5 0.8734 0.3734 0.5000  4 Pt 2.66-2.73, 2 Rh 2.73, 6 Zn 2.73-2.78
Pt1 0.2530 0.2530 0.0000  8 Zn 2.66-2.73, 4 Pt 2.79
Pt2 0.7470 0.7470 0.0000  8 Zn 2.66-2.73, 4 Pt 2.79
Rh1 0.5000 0.5000 0.0000  12 Zn 2.73-2.78

Properties
SG ... No. 139
Total magnetic moment ... 0.00 μB/f.u.
E_form ... -0.432 eV/atom
Calculated density ... 11.782 g/cm3

La3Pr2SmSe6 | PBE | optimized geometry

Cell: 7.4152 7.4152 7.3892 Å, 99.63 99.63 120.14°
Closest atoms and distances in Å follow each position.
Fractional positions:
La1 0.0000 0.0000 0.0000  6 Se 3.03-3.06
La2 0.3311 0.6689 0.0000  6 Se 3.03-3.05
La3 0.6689 0.3311 0.0000  6 Se 3.03-3.05
Pr1 0.1666 0.8334 0.5000  6 Se 3.02
Pr2 0.8334 0.1666 0.5000  6 Se 3.02
Sm1 0.5000 0.5000 0.5000  6 Se 2.97-2.98
Se1 0.0901 0.4186 0.2553  1 Sm 2.97, 2 Pr 3.02, 3 La 3.03-3.05
Se2 0.2539 0.2539 0.7470  1 Sm 2.98, 2 Pr 3.02, 3 La 3.04-3.06
Se3 0.4186 0.0901 0.2553  1 Sm 2.97, 2 Pr 3.02, 3 La 3.03-3.05
Se4 0.5814 0.9099 0.7447  1 Sm 2.97, 2 Pr 3.02, 3 La 3.03-3.05
Se5 0.7461 0.7461 0.2530  1 Sm 2.98, 2 Pr 3.02, 3 La 3.04-3.06
Se6 0.9099 0.5814 0.7447  1 Sm 2.97, 2 Pr 3.02, 3 La 3.03-3.05

Properties
Formation energy without anion corrections ... -1925 meV per atom
SG ... No. 12
Total magnetic moment ... 0.00 μB/f.u.
Calculated density ... 6.635 g/cm3

LaTl3Sb2Se6 | PBE | optimized geometry

Cell: 7.4381 7.4381 8.0282 Å, 98.89 98.89 119.88°
Closest atoms and distances in Å follow each position.
Fractional positions:
La1 0.0000 0.0000 0.0000  6 Se 3.01-3.03
Tl1 0.1643 0.8357 0.5000  6 Se 3.28-3.35
Tl2 0.5000 0.5000 0.5000  6 Se 3.28-3.34
Tl3 0.8357 0.1643 0.5000  6 Se 3.28-3.35
Sb1 0.3339 0.6661 0.0000  6 Se 2.90-2.94
Sb2 0.6661 0.3339 0.0000  6 Se 2.90-2.94
Se1 0.0712 0.4147 0.2115  2 Sb 2.93-2.94, 1 La 3.03
Se2 0.2754 0.2754 0.7929  2 Sb 2.90, 1 La 3.01
Se3 0.4147 0.0712 0.2115  2 Sb 2.93-2.94, 1 La 3.03
Se4 0.5853 0.9288 0.7885  2 Sb 2.93-2.94, 1 La 3.03
Se5 0.7246 0.7246 0.2071  2 Sb 2.90, 1 La 3.01
Se6 0.9288 0.5853 0.7885  2 Sb 2.93-2.94, 1 La 3.03

Properties
Formation energy without anion corrections ... -718 meV per atom
SG ... No. 12
Total magnetic moment ... 0.00 μB/f.u.
Calculated density ... 6.660 g/cm3

ZrMnCu3 | PBE | optimized geometry

Cell: 4.4380 4.4380 4.4380 Å, 90.00 90.00 90.00°
Closest atoms and distances in Å follow each position.
Fractional positions:
Zr1 0.0000 0.0000 0.0000  12 Cu 3.14
Mn1 0.5000 0.5000 0.5000  6 Cu 2.22
Cu1 0.0000 0.5000 0.5000  2 Mn 2.22
Cu2 0.5000 0.0000 0.5000  2 Mn 2.22
Cu3 0.5000 0.5000 0.0000  2 Mn 2.22

Properties
SG ... No. 221
Total magnetic moment ... 3.13 μB/f.u.
E_form ... 0.732 eV/atom
Calculated density ... 6.398 g/cm3

Hf2SnTe | PBE | optimized geometry

Cell: 7.0951 7.0951 7.0951 Å, 34.03 34.03 34.03°
Closest atoms and distances in Å follow each position.
Fractional positions:
Hf1 0.2416 0.2416 0.2416  3 Sn 2.83, 3 Te 3.02
Hf2 0.7584 0.7584 0.7584  3 Sn 2.83, 3 Te 3.02
Sn1 0.5000 0.5000 0.5000  6 Hf 2.83
Te1 0.0000 0.0000 0.0000  6 Hf 3.02

Properties
Formation energy without anion corrections ... -204 meV per atom
SG ... No. 166
Total magnetic moment ... 0.00 μB/f.u.
Calculated density ... 10.048 g/cm3
Energy above the most stable polymorph in this dataset ... 3.702 kcal/mol of atoms

Mn2MoI | PBE | optimized geometry

Cell: 4.5570 4.5570 4.5570 Å, 60.00 60.00 60.00°
Closest atoms and distances in Å follow each position.
Fractional positions:
Mn1 0.2500 0.2500 0.2500  4 Mo 2.79, 4 I 2.79
Mn2 0.7500 0.7500 0.7500  4 Mo 2.79, 4 I 2.79
Mo1 0.0000 0.0000 0.0000  8 Mn 2.79
I1 0.5000 0.5000 0.5000  8 Mn 2.79

Properties
Formation energy without anion corrections ... 1037 meV per atom
SG ... No. 225
Total magnetic moment ... 4.44 μB/f.u.
Calculated density ... 8.257 g/cm3
Energy above the most stable polymorph in this dataset ... 0.000 kcal/mol of atoms

Tb4PrBi3 | PBE | optimized geometry

Cell: 8.7308 8.7308 8.7308 Å, 153.16 120.08 66.82°
Closest atoms and distances in Å follow each position.
Fractional positions:
Tb1 0.0706 0.8675 0.2031  5 Bi 3.22-3.37, 1 Pr 3.23, 1 Tb 3.54
Tb2 0.3356 0.1325 0.2031  5 Bi 3.22-3.37, 1 Pr 3.23, 1 Tb 3.54
Tb3 0.6644 0.8675 0.7969  5 Bi 3.22-3.37, 1 Pr 3.23, 1 Tb 3.54
Tb4 0.9294 0.1325 0.7969  5 Bi 3.22-3.37, 1 Pr 3.23, 1 Tb 3.54
Pr1 0.5000 0.0000 0.5000  4 Tb 3.23, 4 Bi 3.35
Bi1 0.0000 0.5000 0.5000  8 Tb 3.31
Bi2 0.3173 0.3173 0.0000  6 Tb 3.22-3.37, 2 Pr 3.35
Bi3 0.6827 0.6827 0.0000  6 Tb 3.22-3.37, 2 Pr 3.35

Properties
SG ... No. 71
Total magnetic moment ... 0.34 μB/f.u.
E_form ... -0.412 eV/atom
Calculated density ... 9.051 g/cm3

CuPd3Pb | PBE | optimized geometry

Cell: 4.6611 4.6611 4.6611 Å, 90.00 90.00 90.00°
Closest atoms and distances in Å follow each position.
Fractional positions:
Cu1 0.0000 0.0000 0.0000  6 Pd 2.33
Pd1 0.0000 0.0000 0.5000  2 Cu 2.33
Pd2 0.0000 0.5000 0.0000  2 Cu 2.33
Pd3 0.5000 0.0000 0.0000  2 Cu 2.33
Pb1 0.5000 0.5000 0.5000  12 Pd 3.30

Properties
SG ... No. 221
Total magnetic moment ... 0.00 μB/f.u.
E_form ... 0.399 eV/atom
Calculated density ... 9.675 g/cm3
Energy above the most stable polymorph in this dataset ... 10.599 kcal/mol of atoms

Li2InOs | PBE | optimized geometry

Cell: 4.6151 4.6151 2.7592 Å, 90.00 90.00 90.00°
Closest atoms and distances in Å follow each position.
Fractional positions:
Li1 0.0000 0.5000 0.0000  4 In 2.69, 4 Os 2.69, 2 Li 2.76
Li2 0.5000 0.0000 0.0000  4 In 2.69, 4 Os 2.69, 2 Li 2.76
In1 0.0000 0.0000 0.5000  8 Li 2.69, 2 In 2.76
Os1 0.5000 0.5000 0.5000  8 Li 2.69, 2 Os 2.76

Properties
SG ... No. 123
Total magnetic moment ... 0.00 μB/f.u.
E_form ... 0.294 eV/atom
Calculated density ... 9.012 g/cm3

Ca2BiAu | PBE | optimized geometry

Cell: 5.3323 5.3323 3.8935 Å, 90.00 90.00 90.00°
Closest atoms and distances in Å follow each position.
Fractional positions:
Ca1 0.0000 0.5000 0.0000  4 Au 3.30, 4 Bi 3.30
Ca2 0.5000 0.0000 0.0000  4 Au 3.30, 4 Bi 3.30
Bi1 0.0000 0.0000 0.5000  8 Ca 3.30
Au1 0.5000 0.5000 0.5000  8 Ca 3.30

Properties
SG ... No. 123
Total magnetic moment ... 0.00 μB/f.u.
E_form ... -0.774 eV/atom
Calculated density ... 7.291 g/cm3

LiCaUO5 | PBE | optimized geometry

Cell: 5.8252 5.8252 7.9812 Å, 104.33 104.33 107.50°
Closest atoms and distances in Å follow each position.
Fractional positions:
Li1 0.0604 0.9396 0.7500  4 O 1.97
Li2 0.9396 0.0604 0.2500  4 O 1.97
Ca1 0.4156 0.5844 0.7500  5 O 2.32-2.41
Ca2 0.5844 0.4156 0.2500  5 O 2.32-2.41
U1 0.0000 0.5000 0.0000  6 O 1.97-2.18
U2 0.5000 0.0000 0.5000  6 O 1.97-2.18
O1 0.1831 0.7658 0.9147  1 U 1.97, 1 Li 1.97
O2 0.1969 0.3107 0.8914  1 Li 1.97, 1 U 2.02
O3 0.2342 0.8169 0.5853  1 U 1.97, 1 Li 1.97
O4 0.3107 0.1969 0.3914  1 Li 1.97, 1 U 2.02
O5 0.3374 0.6626 0.2500  2 U 2.18, 1 Ca 2.32
O6 0.6626 0.3374 0.7500  2 U 2.18, 1 Ca 2.32
O7 0.6893 0.8031 0.6086  1 Li 1.97, 1 U 2.02
O8 0.7658 0.1831 0.4147  1 U 1.97, 1 Li 1.97
O9 0.8031 0.6893 0.1086  1 Li 1.97, 1 U 2.02
O10 0.8169 0.2342 0.0853  1 U 1.97, 1 Li 1.97

Properties
Formation energy without anion corrections ... -2657 meV per atom
SG ... No. 15
Total magnetic moment ... 0.00 μB/f.u.
Calculated density ... 5.169 g/cm3

YBePt3 | PBE | optimized geometry

Cell: 5.5680 5.5680 5.5680 Å, 85.73 85.73 85.73°
Closest atoms and distances in Å follow each position.
Fractional positions:
Y1 0.0000 0.0000 0.0000  2 Be 2.58, 6 Pt 2.88
Y2 0.5000 0.5000 0.5000  2 Be 2.58, 6 Pt 2.88
Be1 0.2500 0.2500 0.2500  3 Pt 2.12
Be2 0.7500 0.7500 0.7500  3 Pt 2.12
Pt1 0.0294 0.7500 0.4706  1 Be 2.12
Pt2 0.2500 0.5294 0.9706  1 Be 2.12
Pt3 0.4706 0.0294 0.7500  1 Be 2.12
Pt4 0.5294 0.9706 0.2500  1 Be 2.12
Pt5 0.7500 0.4706 0.0294  1 Be 2.12
Pt6 0.9706 0.2500 0.5294  1 Be 2.12

Properties
SG ... No. 167
Total magnetic moment ... 0.00 μB/f.u.
E_form ... -0.518 eV/atom
Calculated density ... 13.249 g/cm3
Energy above the most stable polymorph in this dataset ... 10.102 kcal/mol of atoms

ZrIr2S2 | PBE | optimized geometry

Cell: 7.1538 7.1538 3.1060 Å, 90.00 90.00 90.00°
Closest atoms and distances in Å follow each position.
Fractional positions:
Zr1 0.0000 0.0000 0.0000  4 S 2.61
Zr2 0.5000 0.5000 0.0000  4 S 2.61
Ir1 0.1394 0.3606 0.5000  2 S 2.36
Ir2 0.3606 0.8606 0.5000  2 S 2.36
Ir3 0.6394 0.1394 0.5000  2 S 2.36
Ir4 0.8606 0.6394 0.5000  2 S 2.36
S1 0.1847 0.6847 0.0000  2 Ir 2.36, 2 Zr 2.61
S2 0.3153 0.1847 0.0000  2 Ir 2.36, 2 Zr 2.61
S3 0.6847 0.8153 0.0000  2 Ir 2.36, 2 Zr 2.61
S4 0.8153 0.3153 0.0000  2 Ir 2.36, 2 Zr 2.61

Properties
Formation energy without anion corrections ... -142 meV per atom
SG ... No. 127
Total magnetic moment ... 0.00 μB/f.u.
Calculated density ... 11.278 g/cm3
Energy above the most stable polymorph in this dataset ... 0.000 kcal/mol of atoms

Hf2TaAg | PBE | optimized geometry

Cell: 10.3432 10.3432 10.3432 Å, 156.89 156.89 32.92°
Closest atoms and distances in Å follow each position.
Fractional positions:
Hf1 0.1185 0.6250 0.9935  2 Ta 2.87, 2 Ag 2.89, 4 Hf 2.89-2.97
Hf2 0.3750 0.3685 0.4935  2 Ta 2.87, 2 Ag 2.89, 4 Hf 2.89-2.97
Hf3 0.6315 0.1250 0.0065  2 Ta 2.87, 2 Ag 2.89, 4 Hf 2.89-2.97
Hf4 0.8750 0.8815 0.5065  2 Ta 2.87, 2 Ag 2.89, 4 Hf 2.89-2.97
Ta1 0.0000 0.0000 0.0000  4 Hf 2.87, 4 Ag 2.93
Ta2 0.7500 0.2500 0.5000  4 Hf 2.87, 4 Ag 2.93
Ag1 0.2500 0.7500 0.5000  4 Hf 2.89, 4 Ta 2.93
Ag2 0.5000 0.5000 0.0000  4 Hf 2.89, 4 Ta 2.93

Properties
SG ... No. 122
Total magnetic moment ... 0.00 μB/f.u.
E_form ... 0.709 eV/atom
Calculated density ... 12.589 g/cm3
Energy above the most stable polymorph in this dataset ... 16.227 kcal/mol of atoms